Entry 1:
# Hf3Pt, optimized geometry, DFT GGA-PBE
# Crystal system: cubic
# DOS(E_F): 4.32 states/eV/f.u.
data_Hf3Pt
_chemical_formula_sum 'Hf3 Pt1'
_space_group_name_H-M_alt 'P m -3 m'
_space_group_IT_number 221
_space_group_name_Hall '-P 4 2 3'
_cell_length_a 4.297
_cell_length_b 4.297
_cell_length_c 4.297
_cell_angle_alpha 90.00
_cell_angle_beta 90.00
_cell_angle_gamma 90.00
loop_
_atom_site_label
_atom_site_type_symbol
_atom_site_fract_x
_atom_site_fract_y
_atom_site_fract_z
Hf1 Hf 0.000 0.000 0.500
Pt1 Pt 0.500 0.500 0.500

Entry 2:
# HfPt3, optimized geometry, DFT GGA-PBE
# Crystal system: hexagonal
# DOS(E_F): 1.35 states/eV/f.u.
data_HfPt3
_chemical_formula_sum 'Hf2 Pt6'
_space_group_name_H-M_alt 'P 63/m m c'
_space_group_IT_number 194
_space_group_name_Hall '-P 6c 2c'
_cell_length_a 5.7047
_cell_length_b 5.7047
_cell_length_c 4.6560
_cell_angle_alpha 90.00
_cell_angle_beta 90.00
_cell_angle_gamma 120.00
loop_
_atom_site_label
_atom_site_type_symbol
_atom_site_fract_x
_atom_site_fract_y
_atom_site_fract_z
Hf1 Hf 0.3333 0.6667 0.2500
Pt1 Pt 0.1647 0.3295 0.7500

Calculated density list, top to bottom, in g/cm3: 15.3, 19.3
Energy of formation from the pure elements list, top to bottom, in meV/atom: -408, -1079
Uncorrected energy list, top to bottom, in eV/atom: -9.38, -8.10